Here is an optimized crystal structure of MnMoIO2 from the Alexandria database. Energies are from PBE with a Hubbard U.

a b c (Å): 3.9956 3.9956 5.9206
angles (deg): 90.00 90.00 90.00
Closest atoms and distances in Å follow each position.
Fractional coordinates of all 5 atoms:
Mo  0.5000  0.5000  0.5000  4 I 2.83
Mn  0.0000  0.0000  0.0000  4 O 2.00
O  0.5000  0.0000  0.0000  2 Mn 2.00
O  0.0000  0.5000  0.0000  2 Mn 2.00
I  0.0000  0.0000  0.5000  4 Mo 2.83, 2 Mn 2.96

DOS at the Fermi energy   2.4 states/eV/f.u.
Energy above the most stable polymorph in this dataset   408 meV/atom
Calculated volume   94.52 Å³ per cell
Theoretical density   5.44 Mg/m³